1.
Material: Sm3Zn9Si2
Method: DFT, PBE
State: relaxed

Unit cell a=4.310 b=9.716 c=12.338 alpha=90.00 beta=90.00 gamma=90.00
Space group Immm (No. 71)
Asymmetric unit:
1 Sm 0.000 0.000 0.000 x2
2 Sm 0.000 0.000 0.314 x4
3 Zn 0.000 0.273 0.137 x8
4 Zn 0.000 0.370 0.337 x8
5 Zn 0.000 0.500 0.000 x2
6 Si 0.000 0.217 0.500 x4

Calculated values
The uncorrected formation energy comes out at -0.34 eV per atom. The calculation puts the total DFT energy (no corrections) at -2.943 eV/atom.

***

2.
Material: SmZn2Si2
Method: DFT, PBE
State: relaxed

Unit cell a=3.653 b=3.653 c=18.833 alpha=90.00 beta=90.00 gamma=90.00
Space group I4/mmm (No. 139)
Asymmetric unit:
1 Sm 0.000 0.000 0.000 x2
2 Zn 0.000 0.500 0.250 x4
3 Si 0.000 0.000 0.155 x4

Calculated values
The uncorrected formation energy comes out at 0.47 eV per atom. The calculation puts the total DFT energy (no corrections) at -3.157 eV/atom.

***

3.
Material: Sm6Zn5Si
Method: DFT, PBE
State: relaxed

Unit cell a=5.112 b=15.431 c=7.276 alpha=90.00 beta=90.00 gamma=90.00
Space group Cmmm (No. 65)
Asymmetric unit:
1 Sm 0.000 0.000 0.241 x4
2 Sm 0.000 0.337 0.248 x8
3 Zn 0.000 0.168 0.500 x4
4 Zn 0.000 0.176 0.000 x4
5 Zn 0.000 0.500 0.500 x2
6 Si 0.000 0.500 0.000 x2

Calculated values
The uncorrected formation energy comes out at -0.37 eV per atom. The calculation puts the total DFT energy (no corrections) at -3.712 eV/atom.

***

4.
Material: Sm2ZnSi
Method: DFT, PBE
State: relaxed

Unit cell a=4.1354 b=4.1354 c=28.2949 alpha=90.00 beta=90.00 gamma=120.00
Space group R-3m (No. 166, hexagonal axes)
Asymmetric unit:
1 Sm 0.0000 0.0000 0.1115 x6
2 Zn 0.0000 0.0000 0.0000 x3
3 Si 0.0000 0.0000 0.5000 x3

Calculated values
The uncorrected formation energy comes out at 0.03 eV per atom. The calculation puts the total DFT energy (no corrections) at -4.004 eV/atom.

***

5.
Material: Sm2Zn3Si
Method: DFT, PBE
State: relaxed

Unit cell a=7.488 b=8.787 c=15.187 alpha=90.00 beta=90.00 gamma=90.00
Space group Fmmm (No. 69)
Asymmetric unit:
1 Sm 0.244 0.000 0.000 x8
2 Sm 0.250 0.250 0.250 x8
3 Zn 0.000 0.000 0.168 x8
4 Zn 0.000 0.246 0.417 x16
5 Si 0.000 0.000 0.334 x8

Calculated values
The uncorrected formation energy comes out at -0.50 eV per atom. The calculation puts the total DFT energy (no corrections) at -3.613 eV/atom.

***

6.
Material: Sm4ZnSi3
Method: DFT, PBE
State: relaxed

Unit cell a=3.989 b=4.346 c=10.998 alpha=90.00 beta=90.00 gamma=90.00
Space group Pmm2 (No. 25)
Asymmetric unit:
1 Sm 0.000 0.000 0.000 x1
2 Sm 0.000 0.500 0.494 x1
3 Sm 0.500 0.000 0.713 x1
4 Sm 0.500 0.500 0.216 x1
5 Zn 0.000 0.500 0.789 x1
6 Si 0.000 0.000 0.283 x1
7 Si 0.500 0.000 0.425 x1
8 Si 0.500 0.500 0.932 x1

Calculated values
The uncorrected formation energy comes out at -0.66 eV per atom. The calculation puts the total DFT energy (no corrections) at -5.210 eV/atom.